<1>
Material: KCrRu2
Method: DFT, PBE-GGA
State: relaxed

Output
N(E_F) (states/eV/f.u.): 5.80
Symmetry: Pmmm, No. 47
Magnetic moment (μB per atom): 0.001
Calculated volume (Å³ per cell): 75.39

Cell and atoms, written as CIF:
```
data_KCrRu2
_cell_length_a 3.1968
_cell_length_b 2.8843
_cell_length_c 8.6690
_cell_angle_alpha 70.58
_cell_angle_beta 90.00
_cell_angle_gamma 90.00
_symmetry_space_group_name_H-M 'P 1'
_symmetry_Int_Tables_number 1
loop_
_symmetry_equiv_pos_as_xyz
'x,y,z'
loop_
_atom_site_label
_atom_site_type_symbol
_atom_site_fract_x
_atom_site_fract_y
_atom_site_fract_z
Cr1 Cr 0.5000 0.2500 0.2500
K1 K 0.5000 0.7500 0.7500
Ru1 Ru 0.0000 0.9072 0.0927
Ru2 Ru 0.0000 0.5928 0.4073
```



<2>
Material: KCrRu2
Method: DFT, PBE-GGA
State: relaxed

Output
N(E_F) (states/eV/f.u.): 4.92
Symmetry: C2/m, No. 12
Magnetic moment (μB per atom): 0.561
Calculated volume (Å³ per cell): 68.57

Cell and atoms, written as CIF:
```
data_KCrRu2
_cell_length_a 5.5764
_cell_length_b 5.5764
_cell_length_c 2.7371
_cell_angle_alpha 79.09
_cell_angle_beta 79.09
_cell_angle_gamma 119.59
_symmetry_space_group_name_H-M 'P 1'
_symmetry_Int_Tables_number 1
loop_
_symmetry_equiv_pos_as_xyz
'x,y,z'
loop_
_atom_site_label
_atom_site_type_symbol
_atom_site_fract_x
_atom_site_fract_y
_atom_site_fract_z
Ru1 Ru 0.0000 0.0000 0.0000
Ru2 Ru 0.5000 0.5000 0.0000
K1 K 0.0000 0.5000 0.5000
Cr1 Cr 0.5000 0.0000 0.5000
```



<3>
Material: KCrRu2
Method: DFT, PBE-GGA
State: relaxed

Output
N(E_F) (states/eV/f.u.): 2.81
Symmetry: Imm2, No. 44
Magnetic moment (μB per atom): 0.399
Calculated volume (Å³ per cell): 75.15

Cell and atoms, written as CIF:
```
data_KCrRu2
_cell_length_a 5.9335
_cell_length_b 5.9335
_cell_length_c 5.9335
_cell_angle_alpha 152.94
_cell_angle_beta 127.21
_cell_angle_gamma 60.31
_symmetry_space_group_name_H-M 'P 1'
_symmetry_Int_Tables_number 1
loop_
_symmetry_equiv_pos_as_xyz
'x,y,z'
loop_
_atom_site_label
_atom_site_type_symbol
_atom_site_fract_x
_atom_site_fract_y
_atom_site_fract_z
K1 K 0.2488 0.7488 0.5000
Cr1 Cr 0.5413 0.5413 0.0000
Ru1 Ru 0.7496 0.2496 0.5000
Ru2 Ru 0.9603 0.9603 0.0000
```



Computed energies relative to the best structure, in kJ/mol of atoms: <1> 0.0; <2> 57.4; <3> 40.1



<1>
Material: KCrRu3
Method: DFT, PBE-GGA
State: relaxed

Output
N(E_F) (states/eV/f.u.): 10.85
Symmetry: Pm-3m, No. 221
Magnetic moment (μB per atom): 0.221
Calculated volume (Å³ per cell): 95.50

Cell and atoms, written as CIF:
```
data_KCrRu3
_cell_length_a 4.5709
_cell_length_b 4.5709
_cell_length_c 4.5709
_cell_angle_alpha 90.00
_cell_angle_beta 90.00
_cell_angle_gamma 90.00
_symmetry_space_group_name_H-M 'P 1'
_symmetry_Int_Tables_number 1
loop_
_symmetry_equiv_pos_as_xyz
'x,y,z'
loop_
_atom_site_label
_atom_site_type_symbol
_atom_site_fract_x
_atom_site_fract_y
_atom_site_fract_z
Ru1 Ru 0.5000 0.0000 0.0000
Ru2 Ru 0.0000 0.5000 0.0000
Ru3 Ru 0.0000 0.0000 0.5000
Cr1 Cr 0.0000 0.0000 0.0000
K1 K 0.5000 0.5000 0.5000
```



<2>
Material: KCrRu3
Method: DFT, PBE-GGA
State: relaxed

Output
N(E_F) (states/eV/f.u.): 12.39
Symmetry: Pm-3m, No. 221
Magnetic moment (μB per atom): 0.052
Calculated volume (Å³ per cell): 89.16

Cell and atoms, written as CIF:
```
data_KCrRu3
_cell_length_a 4.4675
_cell_length_b 4.4675
_cell_length_c 4.4675
_cell_angle_alpha 90.00
_cell_angle_beta 90.00
_cell_angle_gamma 90.00
_symmetry_space_group_name_H-M 'P 1'
_symmetry_Int_Tables_number 1
loop_
_symmetry_equiv_pos_as_xyz
'x,y,z'
loop_
_atom_site_label
_atom_site_type_symbol
_atom_site_fract_x
_atom_site_fract_y
_atom_site_fract_z
Ru1 Ru 0.0000 0.0000 0.5000
Ru2 Ru 0.5000 0.0000 0.0000
Ru3 Ru 0.0000 0.5000 0.0000
Cr1 Cr 0.5000 0.5000 0.5000
K1 K 0.0000 0.0000 0.0000
```



Computed energies relative to the best structure, in kJ/mol of atoms: <1> 0.0; <2> 188.2



<1>
Material: KCr3Ru
Method: DFT, PBE-GGA
State: relaxed

Output
N(E_F) (states/eV/f.u.): 5.62
Symmetry: Pm-3m, No. 221
Magnetic moment (μB per atom): 2.126
Calculated volume (Å³ per cell): 117.44

Cell and atoms, written as CIF:
```
data_KCr3Ru
_cell_length_a 4.8970
_cell_length_b 4.8970
_cell_length_c 4.8970
_cell_angle_alpha 90.00
_cell_angle_beta 90.00
_cell_angle_gamma 90.00
_symmetry_space_group_name_H-M 'P 1'
_symmetry_Int_Tables_number 1
loop_
_symmetry_equiv_pos_as_xyz
'x,y,z'
loop_
_atom_site_label
_atom_site_type_symbol
_atom_site_fract_x
_atom_site_fract_y
_atom_site_fract_z
Cr1 Cr 0.0000 0.5000 0.0000
Cr2 Cr 0.0000 0.0000 0.5000
Cr3 Cr 0.5000 0.0000 0.0000
Ru1 Ru 0.0000 0.0000 0.0000
K1 K 0.5000 0.5000 0.5000
```



<2>
Material: KCr3Ru
Method: DFT, PBE-GGA
State: relaxed

Output
N(E_F) (states/eV/f.u.): 8.77
Symmetry: Pm-3m, No. 221
Magnetic moment (μB per atom): 0.267
Calculated volume (Å³ per cell): 71.18

Cell and atoms, written as CIF:
```
data_KCr3Ru
_cell_length_a 4.1443
_cell_length_b 4.1443
_cell_length_c 4.1443
_cell_angle_alpha 90.00
_cell_angle_beta 90.00
_cell_angle_gamma 90.00
_symmetry_space_group_name_H-M 'P 1'
_symmetry_Int_Tables_number 1
loop_
_symmetry_equiv_pos_as_xyz
'x,y,z'
loop_
_atom_site_label
_atom_site_type_symbol
_atom_site_fract_x
_atom_site_fract_y
_atom_site_fract_z
Cr1 Cr 0.0000 0.5000 0.0000
Cr2 Cr 0.0000 0.0000 0.5000
Cr3 Cr 0.5000 0.0000 0.0000
Ru1 Ru 0.5000 0.5000 0.5000
K1 K 0.0000 0.0000 0.0000
```



Computed energies relative to the best structure, in kJ/mol of atoms: <1> 0.0; <2> 163.9